! KMnCO4 | Alexandria | PBE with a Hubbard U | relaxed; values from VASP
&SYSTEM
  ibrav = 0, nat = 14, ntyp = 4
/
ATOMIC_SPECIES
O 16.00 O.upf
Mn 54.94 Mn.upf
C 12.01 C.upf
K 39.10 K.upf
ATOMIC_POSITIONS crystal
O 0.778 0.222 0.556
O 0.778 0.222 0.944
O 0.212 0.119 0.250
O 0.881 0.788 0.250
O 0.222 0.778 0.056
O 0.788 0.881 0.750
O 0.222 0.778 0.444
O 0.119 0.212 0.750
Mn 0.877 0.123 0.250
Mn 0.123 0.877 0.750
C 0.141 0.859 0.250
C 0.859 0.141 0.750
K 0.500 0.500 0.000
K 0.500 0.500 0.500
CELL_PARAMETERS angstrom
-2.335 1.795 -5.053
-4.260 -0.993 3.882
0.357 5.601 1.824
! M_tot	4.00	μB per formula unit
! total energy	-6.658	eV/atom
! calculated volume	13.6	A^3/atom